Entry 1:
The following is a PBE-GGA calculation of an optimized crystal structure of SnTe, from the Alexandria database.

size of the total moment = 0.00 μB/f.u.
formation energy (no corrections) = -6 meV per atom

```
16
Lattice="7.910 0.000 0.000 0.000 8.279 0.000 0.000 0.000 7.848" Properties=species:S:1:pos:R:3 pbc="T T T"
Te 1.827 1.357 0.617
Te 5.782 2.783 7.231
Te 2.128 6.923 4.541
Te 7.874 7.452 1.871
Te 6.083 5.496 3.307
Te 3.919 4.967 5.977
Te 0.036 3.312 2.053
Te 3.991 0.827 5.795
Sn 7.786 0.961 5.777
Sn 2.069 5.290 0.611
Sn 0.124 5.101 5.995
Sn 5.841 1.150 3.313
Sn 4.079 7.319 1.853
Sn 1.886 2.990 4.535
Sn 6.024 7.129 7.237
Sn 3.831 3.179 2.071
```


Entry 2:
The following is a PBE-GGA calculation of an optimized crystal structure of TlTc3Cl, from the Alexandria database.

ΔE to the lowest computed polymorph = 0.0 meV/atom
size of the total moment = 1.35 μB/f.u.
formation energy (no corrections) = 1122 meV per atom

```
5
Lattice="4.424 0.000 0.000 0.000 4.424 0.000 0.000 0.000 4.424" Properties=species:S:1:pos:R:3 pbc="T T T"
Tc 0.000 2.212 0.000
Tc 2.212 0.000 0.000
Tc 0.000 0.000 2.212
Tl 2.212 2.212 2.212
Cl 0.000 0.000 0.000
```


Entry 3:
The following is a PBE-GGA calculation of an optimized crystal structure of PmGe3Ir3, from the Alexandria database.

ΔE to the lowest computed polymorph = 0.0 meV/atom
size of the total moment = 0.00 μB/f.u.
ΔH_f (0 K) = -0.454 eV per atom

```
14
Lattice="-0.244 2.136 3.686 -0.692 -7.757 4.450 8.078 3.582 -1.540" Properties=species:S:1:pos:R:3 pbc="T T T"
Ge 5.312 -1.946 2.715
Ge 7.272 1.707 0.728
Ge 4.444 -3.287 5.905
Ge -0.129 -3.746 5.868
Ge 2.698 1.248 0.691
Ge 1.830 -0.093 3.881
Ir 4.003 -1.206 4.670
Ir 4.959 2.356 0.198
Ir 3.139 -0.833 1.926
Ir 7.184 -0.514 2.009
Ir -0.042 -1.525 4.587
Ir 2.184 -4.395 6.398
Pm 2.170 -3.444 3.375
Pm 4.972 1.405 3.221
```


Entry 4:
The following is a PBE-GGA calculation of an optimized crystal structure of Sc2Al2Ni, from the Alexandria database.

size of the total moment = 0.00 μB/f.u.
ΔH_f (0 K) = -0.401 eV per atom

```
10
Lattice="-0.040 1.769 6.204 -6.336 -1.176 0.294 0.823 -4.137 1.185" Properties=species:S:1:pos:R:3 pbc="T T T"
Ni -3.188 0.296 3.249
Ni 0.000 0.000 0.000
Al -4.108 0.760 5.506
Al -0.932 0.969 4.031
Al -5.445 -0.376 2.467
Al -2.268 -0.167 0.992
Sc -1.733 -0.987 5.859
Sc -4.894 -1.869 4.974
Sc -3.820 -2.558 1.823
Sc -0.659 -1.675 2.708
```


Entry 5:
The following is a PBE-GGA calculation of an optimized crystal structure of Nb2CoGeAs, from the Alexandria database.

size of the total moment = 0.00 μB/f.u.
ΔH_f (0 K) = 1.472 eV per atom

```
5
Lattice="4.790 0.000 0.000 0.000 4.698 0.000 0.000 0.000 4.790" Properties=species:S:1:pos:R:3 pbc="T T T"
Nb 2.395 0.000 0.000
Nb 0.000 0.000 2.395
Ge 0.000 0.000 0.000
Co 2.395 2.349 2.395
As 0.000 2.349 0.000
```


Entry 6:
The following is a PBE-GGA calculation of an optimized crystal structure of KCeCdF6, from the Alexandria database.

size of the total moment = 0.97 μB/f.u.
formation energy (no corrections) = -3093 meV per atom

```
18
Lattice="6.282 0.000 0.000 -3.141 5.440 0.000 0.000 0.000 10.294" Properties=species:S:1:pos:R:3 pbc="T T T"
F 1.135 1.996 8.858
F 3.985 0.015 3.711
F 4.276 3.444 3.711
F 1.979 3.459 6.583
F 5.120 1.981 1.436
F -1.979 3.459 8.858
F 2.006 3.444 1.436
F 1.161 1.981 3.711
F -0.844 5.425 6.583
F 2.297 0.015 1.436
F 0.844 5.425 8.858
F -1.135 1.996 6.583
K 0.000 0.000 0.000
K 0.000 0.000 5.147
Ce 0.000 3.627 2.574
Ce 3.141 1.813 7.721
Cd 3.141 1.813 2.574
Cd 0.000 3.627 7.721
```


Sequential electronic total energy output: -7.16; -29.70; -48.36; -27.94; -29.15; -47.01 eV per formula unit
Sequential Fermi-level density of states output: 0.4; 4.7; 4.3; 4.9; 9.7; 3.7 states/eV/f.u.
Sequential volume output: 32.12; 17.32; 21.24; 18.23; 21.56; 19.54 A^3/atom